DFT (GGA-PBE) results for TaSN2F after structural relaxation.

It has space group P4/mmm (No. 123), with a = 4.103 Å, b = 4.103 Å, c = 3.997 Å, α = 90.00°, β = 90.00° and γ = 90.00°. The asymmetric unit holds Ta at (0.000, 0.000, 0.000), S at (0.500, 0.500, 0.500), N at (0.000, 0.500, 0.000) and F at (0.000, 0.000, 0.500).

Its magnetic moment is 0.00 μB per formula unit. For the distance to the lowest polymorph of the same formula, the calculation gives 0.000 eV per atom. Its energy relative to the elements, uncorrected is -0.0277 eV per atom. For the electronic total energy, the calculation gives -34.64 eV/cell.